Record 1
SrSmSi: relaxed, PBE-GGA.

Geometry as CIF:
```
data_SrSmSi
_symmetry_space_group_name_H-M 'F -4 3 m'
_symmetry_Int_Tables_number 216
_symmetry_space_group_name_Hall 'F -4 2 3'
_cell_length_a 7.2661
_cell_length_b 7.2661
_cell_length_c 7.2661
_cell_angle_alpha 90.00
_cell_angle_beta 90.00
_cell_angle_gamma 90.00
loop_
_atom_site_label
_atom_site_type_symbol
_atom_site_fract_x
_atom_site_fract_y
_atom_site_fract_z
Sr1 Sr 0.0000 0.0000 0.0000
Sm1 Sm 0.0000 0.0000 0.5000
Si1 Si 0.2500 0.2500 0.7500
```

***

Record 2
SmTaSi: relaxed, PBE-GGA.

Geometry as CIF:
```
data_SmTaSi
_symmetry_space_group_name_H-M 'F -4 3 m'
_symmetry_Int_Tables_number 216
_symmetry_space_group_name_Hall 'F -4 2 3'
_cell_length_a 6.8316
_cell_length_b 6.8316
_cell_length_c 6.8316
_cell_angle_alpha 90.00
_cell_angle_beta 90.00
_cell_angle_gamma 90.00
loop_
_atom_site_label
_atom_site_type_symbol
_atom_site_fract_x
_atom_site_fract_y
_atom_site_fract_z
Sm1 Sm 0.0000 0.0000 0.0000
Ta1 Ta 0.2500 0.2500 0.2500
Si1 Si 0.2500 0.2500 0.7500
```

***

Record 3
SmTaSi: relaxed, PBE-GGA.

Geometry as CIF:
```
data_SmTaSi
_symmetry_space_group_name_H-M 'F -4 3 m'
_symmetry_Int_Tables_number 216
_symmetry_space_group_name_Hall 'F -4 2 3'
_cell_length_a 6.4788
_cell_length_b 6.4788
_cell_length_c 6.4788
_cell_angle_alpha 90.00
_cell_angle_beta 90.00
_cell_angle_gamma 90.00
loop_
_atom_site_label
_atom_site_type_symbol
_atom_site_fract_x
_atom_site_fract_y
_atom_site_fract_z
Sm1 Sm 0.0000 0.0000 0.0000
Ta1 Ta 0.0000 0.0000 0.5000
Si1 Si 0.2500 0.2500 0.2500
```

***

Record 4
TbSmSi: relaxed, PBE-GGA.

Geometry as CIF:
```
data_TbSmSi
_symmetry_space_group_name_H-M 'F -4 3 m'
_symmetry_Int_Tables_number 216
_symmetry_space_group_name_Hall 'F -4 2 3'
_cell_length_a 6.9477
_cell_length_b 6.9477
_cell_length_c 6.9477
_cell_angle_alpha 90.00
_cell_angle_beta 90.00
_cell_angle_gamma 90.00
loop_
_atom_site_label
_atom_site_type_symbol
_atom_site_fract_x
_atom_site_fract_y
_atom_site_fract_z
Tb1 Tb 0.0000 0.0000 0.0000
Sm1 Sm 0.0000 0.0000 0.5000
Si1 Si 0.2500 0.2500 0.7500
```

***

Record 5
TbSm2Zn4Si4: relaxed, PBE-GGA.

Geometry as CIF:
```
data_TbSm2Zn4Si4
_symmetry_space_group_name_H-M 'I m m m'
_symmetry_Int_Tables_number 71
_symmetry_space_group_name_Hall '-I 2 2'
_cell_length_a 4.0716
_cell_length_b 4.1318
_cell_length_c 24.6771
_cell_angle_alpha 90.00
_cell_angle_beta 90.00
_cell_angle_gamma 90.00
loop_
_atom_site_label
_atom_site_type_symbol
_atom_site_fract_x
_atom_site_fract_y
_atom_site_fract_z
Tb1 Tb 0.0000 0.0000 0.0000
Sm1 Sm 0.0000 0.5000 0.1438
Zn1 Zn 0.0000 0.0000 0.2504
Zn2 Zn 0.0000 0.5000 0.4063
Si1 Si 0.0000 0.0000 0.4529
Si2 Si 0.0000 0.5000 0.3102
```

***

Record 6
SmSi2Tc2: relaxed, PBE-GGA.

Geometry as CIF:
```
data_SmSi2Tc2
_symmetry_space_group_name_H-M 'I m m a'
_symmetry_Int_Tables_number 74
_symmetry_space_group_name_Hall '-I 2b 2'
_cell_length_a 4.1095
_cell_length_b 4.1551
_cell_length_c 20.7356
_cell_angle_alpha 90.00
_cell_angle_beta 90.00
_cell_angle_gamma 90.00
loop_
_atom_site_label
_atom_site_type_symbol
_atom_site_fract_x
_atom_site_fract_y
_atom_site_fract_z
Sm1 Sm 0.0000 0.2500 0.1639
Si1 Si 0.0000 0.2500 0.6056
Si2 Si 0.0000 0.2500 0.7216
Tc1 Tc 0.0000 0.2500 0.4613
Tc2 Tc 0.0000 0.2500 0.9631
```

***

Record 7
SmSi2Tc2: relaxed, PBE-GGA.

Geometry as CIF:
```
data_SmSi2Tc2
_symmetry_space_group_name_H-M 'I 4/m m m'
_symmetry_Int_Tables_number 139
_symmetry_space_group_name_Hall '-I 4 2'
_cell_length_a 4.1257
_cell_length_b 4.1257
_cell_length_c 10.3332
_cell_angle_alpha 90.00
_cell_angle_beta 90.00
_cell_angle_gamma 90.00
loop_
_atom_site_label
_atom_site_type_symbol
_atom_site_fract_x
_atom_site_fract_y
_atom_site_fract_z
Sm1 Sm 0.0000 0.0000 0.0000
Si1 Si 0.0000 0.0000 0.3772
Tc1 Tc 0.0000 0.5000 0.2500
```

***

Record 8
SmSi2Tc: relaxed, PBE-GGA.

Geometry as CIF:
```
data_SmSi2Tc
_symmetry_space_group_name_H-M 'P n m a'
_symmetry_Int_Tables_number 62
_cell_length_a 7.2815
_cell_length_b 3.9683
_cell_length_c 10.1558
_cell_angle_alpha 90.00
_cell_angle_beta 90.00
_cell_angle_gamma 90.00
loop_
_symmetry_equiv_pos_as_xyz
'x,y,z'
'-x,-y,-z'
'-x+1/2,-y,z+1/2'
'x+1/2,y,-z+1/2'
'x+1/2,-y+1/2,-z+1/2'
'-x+1/2,y+1/2,z+1/2'
'-x,y+1/2,-z'
'x,-y+1/2,z'
loop_
_atom_site_label
_atom_site_type_symbol
_atom_site_fract_x
_atom_site_fract_y
_atom_site_fract_z
Sm1 Sm 0.1440 0.2500 0.1266
Si1 Si 0.1580 0.2500 0.8126
Si2 Si 0.2045 0.2500 0.4269
Tc1 Tc 0.0125 0.7500 0.3927
```

***

Record 9
Sm6SiTe5: relaxed, PBE-GGA.

Geometry as CIF:
```
data_Sm6SiTe5
_symmetry_space_group_name_H-M 'C 1 2/m 1'
_symmetry_Int_Tables_number 12
_cell_length_a 7.6584
_cell_length_b 13.2557
_cell_length_c 7.6536
_cell_angle_alpha 90.00
_cell_angle_beta 109.41
_cell_angle_gamma 90.00
loop_
_symmetry_equiv_pos_as_xyz
'x,y,z'
'-x,-y,-z'
'-x,y,-z'
'x,-y,z'
'x+1/2,y+1/2,z'
'-x+1/2,-y+1/2,-z'
'-x+1/2,y+1/2,-z'
'x+1/2,-y+1/2,z'
loop_
_atom_site_label
_atom_site_type_symbol
_atom_site_fract_x
_atom_site_fract_y
_atom_site_fract_z
Sm1 Sm 0.2262 0.0000 0.2639
Sm2 Sm 0.2297 0.1534 0.7311
Si1 Si 0.0000 0.0000 0.5000
Te1 Te 0.0000 0.1746 0.0000
Te2 Te 0.0000 0.3349 0.5000
Te3 Te 0.0000 0.5000 0.0000
```

***

Record 10
Sm3SiTe2: relaxed, PBE-GGA.

Geometry as CIF:
```
data_Sm3SiTe2
_symmetry_space_group_name_H-M 'C 1 2/c 1'
_symmetry_Int_Tables_number 15
_cell_length_a 7.6841
_cell_length_b 13.0931
_cell_length_c 7.5309
_cell_angle_alpha 90.00
_cell_angle_beta 109.68
_cell_angle_gamma 90.00
loop_
_symmetry_equiv_pos_as_xyz
'x,y,z'
'-x,-y,-z'
'-x,y,-z+1/2'
'x,-y,z+1/2'
'x+1/2,y+1/2,z'
'-x+1/2,-y+1/2,-z'
'-x+1/2,y+1/2,-z+1/2'
'x+1/2,-y+1/2,z+1/2'
loop_
_atom_site_label
_atom_site_type_symbol
_atom_site_fract_x
_atom_site_fract_y
_atom_site_fract_z
Sm1 Sm 0.2181 0.0738 0.4958
Sm2 Sm 0.2500 0.2500 0.0000
Si1 Si 0.0000 0.0889 0.7500
Te1 Te 0.0000 0.2584 0.2500
Te2 Te 0.0000 0.4187 0.7500
```

***

Record 11
SmTlSi: relaxed, PBE-GGA.

Geometry as CIF:
```
data_SmTlSi
_symmetry_space_group_name_H-M 'F -4 3 m'
_symmetry_Int_Tables_number 216
_symmetry_space_group_name_Hall 'F -4 2 3'
_cell_length_a 7.0593
_cell_length_b 7.0593
_cell_length_c 7.0593
_cell_angle_alpha 90.00
_cell_angle_beta 90.00
_cell_angle_gamma 90.00
loop_
_atom_site_label
_atom_site_type_symbol
_atom_site_fract_x
_atom_site_fract_y
_atom_site_fract_z
Sm1 Sm 0.0000 0.0000 0.0000
Tl1 Tl 0.2500 0.2500 0.2500
Si1 Si 0.2500 0.2500 0.7500
```

***

Record 12
SmTlSi: relaxed, PBE-GGA.

Geometry as CIF:
```
data_SmTlSi
_symmetry_space_group_name_H-M 'F -4 3 m'
_symmetry_Int_Tables_number 216
_symmetry_space_group_name_Hall 'F -4 2 3'
_cell_length_a 6.8624
_cell_length_b 6.8624
_cell_length_c 6.8624
_cell_angle_alpha 90.00
_cell_angle_beta 90.00
_cell_angle_gamma 90.00
loop_
_atom_site_label
_atom_site_type_symbol
_atom_site_fract_x
_atom_site_fract_y
_atom_site_fract_z
Sm1 Sm 0.0000 0.0000 0.0000
Tl1 Tl 0.0000 0.0000 0.5000
Si1 Si 0.2500 0.2500 0.2500
```

***

| no. | final energy (eV per cell) | V (A^3/atom) |
| --- | --- | --- |
| 1 | -50.78 | 32.0 |
| 2 | -72.76 | 26.6 |
| 3 | -86.51 | 22.7 |
| 4 | -64.61 | 27.9 |
| 5 | -93.96 | 18.9 |
| 6 | -157.02 | 17.7 |
| 7 | -78.69 | 17.6 |
| 8 | -114.73 | 18.3 |
| 9 | -131.42 | 30.5 |
| 10 | -133.41 | 29.7 |
| 11 | -49.23 | 29.3 |
| 12 | -50.98 | 26.9 |